## K2Hg (PBEsol)

Data for an optimized crystal structure of K2Hg.

Computed properties:
* distance to the lowest polymorph of the same formula: 0.084 eV/atom
* energy relative to the elements: -54 meV per atom
* E_tot: -1.00 eV per atom

Unit cell a=5.751 b=5.751 c=4.433 alpha=90.00 beta=90.00 gamma=120.00
Positions (direct):
1 K 0.333 0.667 0.215
2 K 0.667 0.333 0.785
3 Hg 0.000 0.000 0.500